# 1
Density functional theory data (PBE) for crystalline LaScAu2 at its relaxed geometry.

Total moment, μB/f.u.: 0.00
Energy of formation, eV/f.u.: 0.77
E, eV per atom: -4.26
Space group: Immm, No. 71

Cell lengths 6.583, 6.583, 6.583 Å; angles 56.28, 152.39, 131.99 degrees
Fractional positions:
La1 0.000 0.500 0.500
Sc1 0.000 0.000 0.000
Au1 0.000 0.230 0.230
Au2 0.000 0.770 0.770

=====

# 2
Density functional theory data (PBE) for crystalline LaScAu2 at its relaxed geometry.

Total moment, μB/f.u.: 0.00
Energy of formation, eV/f.u.: -1.17
E, eV per atom: -4.75
Space group: I-42d, No. 122

Cell lengths 5.208, 5.208, 9.402 Å; angles 73.92, 73.92, 90.00 degrees
Fractional positions:
Sc1 0.250 0.750 0.500
Sc2 0.500 0.500 0.000
La1 0.750 0.250 0.500
La2 0.000 0.000 0.000
Au1 0.375 0.451 0.750
Au2 0.201 0.625 0.250
Au3 0.549 0.125 0.250
Au4 0.875 0.799 0.750

=====

# 3
Density functional theory data (PBE) for crystalline LaSc2Au at its relaxed geometry.

Distance to the lowest polymorph of the same formula, eV per atom: 0.255
Total moment, μB/f.u.: 0.00
Energy of formation, eV/f.u.: -0.47
E, eV per atom: -5.33
Space group: C2/m, No. 12

Cell lengths 5.575, 6.178, 3.363 Å; angles 76.24, 85.63, 115.50 degrees
Fractional positions:
Au1 0.000 0.500 0.500
Sc1 0.000 0.000 0.000
Sc2 0.500 0.000 0.500
La1 0.500 0.500 0.000

=====

# 4
Density functional theory data (PBE) for crystalline LaScAu2 at its relaxed geometry.

Total moment, μB/f.u.: 0.00
Energy of formation, eV/f.u.: -2.18
E, eV per atom: -5.00
Space group: Imm2, No. 44

Cell lengths 6.053, 6.053, 6.053 Å; angles 144.19, 133.00, 60.47 degrees
Fractional positions:
Sc1 0.227 0.727 0.500
Au1 0.998 0.998 0.000
Au2 0.769 0.269 0.500
La1 0.506 0.506 0.000

=====

# 5
Density functional theory data (PBE) for crystalline LaSc2Au at its relaxed geometry.

Distance to the lowest polymorph of the same formula, eV per atom: 0.063
Total moment, μB/f.u.: 0.00
Energy of formation, eV/f.u.: -1.23
E, eV per atom: -5.53
Space group: Cm, No. 8

Cell lengths 6.217, 6.217, 5.087 Å; angles 65.93, 65.93, 34.14 degrees
Fractional positions:
Sc1 0.005 0.005 0.995
Sc2 0.788 0.788 0.711
Au1 0.482 0.482 0.519
La1 0.225 0.225 0.275

=====

# 6
Density functional theory data (PBE) for crystalline LaSc2Au at its relaxed geometry.

Distance to the lowest polymorph of the same formula, eV per atom: 0.152
Total moment, μB/f.u.: 0.00
Energy of formation, eV/f.u.: -0.88
E, eV per atom: -5.44
Space group: I-4m2, No. 119

Cell lengths 5.688, 5.688, 5.688 Å; angles 133.12, 133.12, 68.47 degrees
Fractional positions:
Au1 0.500 0.500 0.000
La1 0.750 0.250 0.500
Sc1 0.250 0.750 0.500
Sc2 0.000 0.000 0.000